The following is a PBE-GGA calculation of a relaxed Na3AlOs crystal, from Alexandria.

a = 5.4794 Å, b = 5.4794 Å, c = 5.4794 Å
α = 90.00°, β = 90.00°, γ = 90.00°
Last column: magnetic moment on the atom in μB.
Atoms (fractional coordinates):
Na: 0.0000 0.5000 0.0000  -0.01
Na: 0.0000 0.0000 0.5000  -0.02
Na: 0.5000 0.0000 0.0000  0.00
Os: 0.5000 0.5000 0.5000  2.74
Al: 0.0000 0.0000 0.0000  -0.04

Output
density	2.89	g/cm3
distance to the lowest polymorph of the same formula	1.036	eV/f.u.